This record from the Alexandria database describes crystalline BaCd4In3 at its relaxed geometry. The functional is PBE.

Computed properties:
- Electronic total energy: -1.90 eV/atom
- DFT formation energy: -0.180 eV per atom
- DOS(E_F): 0.65 states/eV per atom
- Crystal system: tetragonal

a b c (Å): 4.9933 4.9933 9.2364
angles (deg): 90.00 90.00 90.00
Element x y z (fractional)
Ba  0.0000  0.0000  0.5000
Cd  0.5000  0.0000  0.8206
Cd  0.0000  0.5000  0.1794
Cd  0.0000  0.5000  0.8206
Cd  0.5000  0.0000  0.1794
In  0.5000  0.5000  0.6542
In  0.0000  0.0000  0.0000
In  0.5000  0.5000  0.3458

This record from the Alexandria database describes crystalline Al4FeCu3 at its relaxed geometry. The functional is PBE.

Computed properties:
- Electronic total energy: -4.71 eV/atom
- DFT formation energy: -0.245 eV per atom
- DOS(E_F): 0.35 states/eV per atom
- Crystal system: tetragonal

a b c (Å): 2.9383 2.9383 11.9457
angles (deg): 90.00 90.00 90.00
Element x y z (fractional)
Cu  0.5000  0.5000  0.7564
Cu  0.5000  0.5000  0.2436
Cu  0.5000  0.5000  0.5000
Al  0.0000  0.0000  0.8883
Al  0.0000  0.0000  0.3706
Al  0.0000  0.0000  0.1117
Al  0.0000  0.0000  0.6294
Fe  0.5000  0.5000  0.0000

This record from the Alexandria database describes crystalline NdTlHgPd at its relaxed geometry. The functional is PBE.

Computed properties:
- Electronic total energy: -3.59 eV/atom
- DFT formation energy: -0.429 eV per atom
- DOS(E_F): 0.87 states/eV per atom
- Crystal system: cubic

a b c (Å): 5.1145 5.1145 5.1145
angles (deg): 60.00 60.00 60.00
Element x y z (fractional)
Tl  0.0000  0.0000  0.0000
Nd  0.5000  0.5000  0.5000
Hg  0.2500  0.2500  0.2500
Pd  0.7500  0.7500  0.7500

This record from the Alexandria database describes crystalline BaCN2F at its relaxed geometry. The functional is PBE.

Computed properties:
- Formation energy (no corrections): 0.478 eV per atom
- Electronic total energy: -5.46 eV/atom
- DOS(E_F): 0.46 states/eV per atom
- Crystal system: tetragonal

a b c (Å): 3.4932 3.4932 5.2083
angles (deg): 90.00 90.00 90.00
Last column: magnetic moment on the atom in μB.
Element x y z (fractional)
N  0.0000  0.5000  0.0000  0.12
N  0.5000  0.0000  0.0000  0.12
C  0.0000  0.0000  0.0000  0.03
F  0.0000  0.0000  0.5000  0.00
Ba  0.5000  0.5000  0.5000  0.00